RbMnNi2B: relaxed, PBE.

Unit cell a=4.182 b=4.279 c=4.182 alpha=90.00 beta=90.00 gamma=90.00
Positions (direct):
Ni 0.000 0.000 0.500
Ni 0.500 0.000 0.000
B 0.000 0.000 0.000
Mn 0.000 0.500 0.000
Rb 0.500 0.500 0.500

Results
Its space group is P4/mmm. The total magnetic moment comes out at 2.95 μB per formula unit. The excess energy over the best structure of this formula in the dataset is 0 meV per atom. As for the formation energy: 0.68 eV/atom.